# 1
Computed, not measured: ScRuN3 at its PBEsol-relaxed geometry at the meta-GGA SCAN level of DFT.

Cell: 3.980 3.980 3.980 Å, 90.00 90.00 90.00°
Sites, in units of the cell vectors:
Sc 0.000 0.000 0.000
Ru 0.500 0.500 0.500
N 0.000 0.000 0.500
N 0.000 0.500 0.000
N 0.500 0.000 0.000

Summary:
Formation energy without anion corrections, eV/atom: 1.472
Space group: No. 221
M_tot, μB per formula unit: 0.205
D(E_F), states/eV/f.u.: 3.66



# 2
Computed, not measured: Sc2Ni2Pd at its PBEsol-relaxed geometry at the meta-GGA SCAN level of DFT.

Cell: 6.778 6.778 3.314 Å, 90.00 90.00 90.00°
Sites, in units of the cell vectors:
Sc 0.179 0.321 0.000
Sc 0.321 0.821 0.000
Sc 0.679 0.179 0.000
Sc 0.821 0.679 0.000
Ni 0.122 0.622 0.500
Ni 0.378 0.122 0.500
Ni 0.622 0.878 0.500
Ni 0.878 0.378 0.500
Pd 0.000 0.000 0.500
Pd 0.500 0.500 0.500

Summary:
Space group: No. 127
M_tot, μB per formula unit: 0.000
Energy relative to the elements, eV per formula unit: -3.07
D(E_F), states/eV/f.u.: 2.93



# 3
Computed, not measured: TaCo2Br at its PBEsol-relaxed geometry at the meta-GGA SCAN level of DFT.

Cell: 3.068 3.068 6.725 Å, 90.00 90.00 90.00°
Sites, in units of the cell vectors:
Ta 0.000 0.000 0.000
Co 0.000 0.000 0.640
Co 0.500 0.500 0.770
Br 0.500 0.500 0.267

Summary:
Formation energy without anion corrections, eV/atom: 0.326
Space group: No. 99
M_tot, μB per formula unit: 3.580
D(E_F), states/eV/f.u.: 2.51



# 4
Computed, not measured: TaAl2Ag at its PBEsol-relaxed geometry at the meta-GGA SCAN level of DFT.

Cell: 2.857 4.179 5.567 Å, 90.00 90.00 90.00°
Sites, in units of the cell vectors:
Ta 0.000 0.000 0.000
Al 0.500 0.500 0.235
Al 0.500 0.500 0.765
Ag 0.500 0.000 0.500

Summary:
Space group: No. 47
M_tot, μB per formula unit: 0.000
Energy relative to the elements, eV per formula unit: -0.38
D(E_F), states/eV/f.u.: 1.77



# 5
Computed, not measured: RbNbSb2I at its PBEsol-relaxed geometry at the meta-GGA SCAN level of DFT.

Cell: 5.309 5.309 6.006 Å, 90.00 90.00 90.00°
Sites, in units of the cell vectors:
Rb 0.000 0.000 0.000
Nb 0.500 0.500 0.500
Sb 0.000 0.500 0.500
Sb 0.500 0.000 0.500
I 0.500 0.500 0.000

Summary:
Formation energy without anion corrections, eV/atom: -0.234
Space group: No. 123
M_tot, μB per formula unit: 0.000
D(E_F), states/eV/f.u.: 2.27



# 6
Computed, not measured: DyB4Ir2Rh2 at its PBEsol-relaxed geometry at the meta-GGA SCAN level of DFT.

Cell: 5.317 5.317 7.378 Å, 90.00 90.00 90.00°
Sites, in units of the cell vectors:
Dy 0.000 0.500 0.000
Dy 0.500 0.000 0.500
B 0.000 0.170 0.352
B 0.000 0.830 0.352
B 0.170 0.000 0.852
B 0.327 0.500 0.656
B 0.500 0.327 0.156
B 0.500 0.673 0.156
B 0.673 0.500 0.656
B 0.830 0.000 0.852
Ir 0.248 0.500 0.358
Ir 0.500 0.248 0.858
Ir 0.500 0.752 0.858
Ir 0.752 0.500 0.358
Rh 0.000 0.251 0.647
Rh 0.000 0.749 0.647
Rh 0.251 0.000 0.147
Rh 0.749 0.000 0.147

Summary:
Space group: No. 105
M_tot, μB per formula unit: 0.001
Energy relative to the elements, eV per formula unit: -5.89
D(E_F), states/eV/f.u.: 3.58



# 7
Computed, not measured: MgAs2IrBr at its PBEsol-relaxed geometry at the meta-GGA SCAN level of DFT.

Cell: 4.732 4.732 5.349 Å, 90.00 90.00 90.00°
Sites, in units of the cell vectors:
Mg 0.000 0.000 0.000
As 0.000 0.500 0.500
As 0.500 0.000 0.500
Ir 0.500 0.500 0.500
Br 0.500 0.500 0.000

Summary:
Formation energy without anion corrections, eV/atom: 0.330
Space group: No. 123
M_tot, μB per formula unit: 0.000
D(E_F), states/eV/f.u.: 4.13



# 8
Computed, not measured: CdNiSe at its PBEsol-relaxed geometry at the meta-GGA SCAN level of DFT.

Cell: 4.211 4.211 4.211 Å, 60.00 60.00 60.00°
Sites, in units of the cell vectors:
Cd 0.000 0.000 0.000
Ni 0.250 0.250 0.250
Se 0.500 0.500 0.500

Summary:
Formation energy without anion corrections, eV/atom: -0.054
Space group: No. 216
M_tot, μB per formula unit: 0.000
D(E_F), states/eV/f.u.: 0.74